A plane-wave DFT calculation with GGA-PBE was carried out for a relaxed BaHO2 crystal.

Density of states at the Fermi level, states/eV per atom: 1.012
Raw total energy, eV per atom: -3.11

Structure (POSCAR):
```
BaHO2
1.0
3.401 0.000 0.000
-1.701 2.946 0.000
0.000 0.000 17.972
Ba H O
3 3 6
Direct
0.000 0.000 0.000 Ba
0.333 0.667 0.667 Ba
0.667 0.333 0.333 Ba
0.000 0.000 0.500 H
0.333 0.667 0.167 H
0.667 0.333 0.833 H
0.000 0.000 0.122 O
0.000 0.000 0.878 O
0.333 0.667 0.545 O
0.333 0.667 0.789 O
0.667 0.333 0.211 O
0.667 0.333 0.455 O
```